#w
Below is a relaxed structure of KGaPd, with properties calculated at the PBE level.

```
KGaPd
1.0
7.0779 0.0000 0.0000
0.0000 7.0779 0.0000
0.0000 0.0000 7.0779
K Ga Pd
4 4 4
Direct
0.0000 0.0000 0.0000
0.0000 0.5000 0.5000
0.5000 0.0000 0.5000
0.5000 0.5000 0.0000
0.2500 0.2500 0.7500
0.2500 0.7500 0.2500
0.7500 0.2500 0.2500
0.7500 0.7500 0.7500
0.2500 0.2500 0.2500
0.2500 0.7500 0.7500
0.7500 0.2500 0.7500
0.7500 0.7500 0.2500
```

As for the crystal system: cubic.

***

#x
Below is a relaxed structure of KGaPd, with properties calculated at the PBE level.

```
KGaPd
1.0
6.8024 0.0000 0.0000
0.0000 6.8024 0.0000
0.0000 0.0000 6.8024
K Ga Pd
4 4 4
Direct
0.0000 0.0000 0.0000
0.0000 0.5000 0.5000
0.5000 0.0000 0.5000
0.5000 0.5000 0.0000
0.0000 0.0000 0.5000
0.0000 0.5000 0.0000
0.5000 0.0000 0.0000
0.5000 0.5000 0.5000
0.2500 0.2500 0.7500
0.2500 0.7500 0.2500
0.7500 0.2500 0.2500
0.7500 0.7500 0.7500
```

As for the crystal system: cubic.

***

#x has the most favorable energy; the next structure is 544 meV/atom above.

***

#w
Below is a relaxed structure of KGaRe, with properties calculated at the PBE level.

```
KGaRe
1.0
7.1147 0.0000 0.0000
0.0000 7.1147 0.0000
0.0000 0.0000 7.1147
K Ga Re
4 4 4
Direct
0.0000 0.0000 0.0000
0.0000 0.5000 0.5000
0.5000 0.0000 0.5000
0.5000 0.5000 0.0000
0.2500 0.2500 0.7500
0.2500 0.7500 0.2500
0.7500 0.2500 0.2500
0.7500 0.7500 0.7500
0.2500 0.2500 0.2500
0.2500 0.7500 0.7500
0.7500 0.2500 0.7500
0.7500 0.7500 0.2500
```

As for the crystal system: cubic. As for the spin magnetization: 3.26 μB/f.u.

***

#x
Below is a relaxed structure of KGaRe, with properties calculated at the PBE level.

```
KGaRe
1.0
6.6925 0.0000 0.0000
0.0000 6.6925 0.0000
0.0000 0.0000 6.6925
K Ga Re
4 4 4
Direct
0.0000 0.0000 0.0000
0.0000 0.5000 0.5000
0.5000 0.0000 0.5000
0.5000 0.5000 0.0000
0.2500 0.2500 0.2500
0.2500 0.7500 0.7500
0.7500 0.2500 0.7500
0.7500 0.7500 0.2500
0.0000 0.0000 0.5000
0.0000 0.5000 0.0000
0.5000 0.0000 0.0000
0.5000 0.5000 0.5000
```

As for the crystal system: cubic. As for the spin magnetization: 2.55 μB/f.u.

***

#x has the most favorable energy; the next structure is 660 meV/atom above.